VASP calculation (PBE-GGA) on a relaxed structure of LaTm.

## Properties
size of the total moment = 0.0 Bohr magnetons per cell
formation energy = 0.89 kcal/mol of atoms
calculated volume = 33.37 Å³/atom
polymorph energy (0 for the lowest one) = 1.41 kJ/mol of atoms

Lattice parameters (Å, degrees): 6.2342 3.5956 12.0860 90.00 99.83 90.00
With the nearest neighbours (Å) after each atom.
Space group C2/m (No. 12)
One atom of each set of equivalent atoms:
La1 0.1206 0.0000 0.3638 x4  9 La 3.60-3.86, 3 Tm 3.60
Tm1 0.2067 0.5000 0.1169 x4  9 Tm 3.47-3.60, 3 La 3.60